Record 1
Entry from the Alexandria database: a relaxed CaLa2CoGe crystal (PBE-GGA).

Total magnetization in μB per formula unit: 0.0
Calculated total energy in eV/atom: -4.922
Energy relative to the elements in eV per atom: -0.2056

Cell lengths 5.4007, 5.4007, 4.7502 Å; angles 90.00, 90.00, 90.00 degrees
Space group P4/mmm (No. 123)
Asymmetric unit:
Ca: 0.0000 0.0000 0.0000 (multiplicity 1)
La: 0.0000 0.5000 0.5000 (multiplicity 2)
Co: 0.5000 0.5000 0.5000 (multiplicity 1)
Ge: 0.5000 0.5000 0.0000 (multiplicity 1)


Record 2
Entry from the Alexandria database: a relaxed ZrBiSe4 crystal (PBE-GGA).

Raw formation energy in eV per formula unit: -4.3
Total magnetization in μB per formula unit: 0.0
Relative energy among the computed polymorphs in meV/atom: 0
Calculated total energy in eV/atom: -5.112

Cell lengths 12.6640, 3.9067, 7.0929 Å; angles 90.00, 91.72, 90.00 degrees
Space group C2/m (No. 12)
Asymmetric unit:
Zr: 0.0000 0.0000 0.0000 (multiplicity 2)
Bi: 0.0000 0.5000 0.5000 (multiplicity 2)
Se: 0.1229 0.5000 0.8548 (multiplicity 4)
Se: 0.1302 0.0000 0.3136 (multiplicity 4)


Record 3
Entry from the Alexandria database: a relaxed SrTcH2 crystal (PBE-GGA).

Total magnetization in μB per formula unit: 2.0
Relative energy among the computed polymorphs in meV/atom: 721
Calculated total energy in eV/atom: -3.792

Cell lengths 6.0340, 6.0340, 6.0340 Å; angles 90.00, 90.00, 90.00 degrees
Space group Fm-3m (No. 225)
Asymmetric unit:
Sr: 0.0000 0.0000 0.0000 (multiplicity 4)
Tc: 0.0000 0.0000 0.5000 (multiplicity 4)
H: 0.2500 0.2500 0.2500 (multiplicity 8)


Record 4
Entry from the Alexandria database: a relaxed Np2UF8 crystal (PBE-GGA).

Raw formation energy in eV per formula unit: -35.0
Total magnetization in μB per formula unit: 12.0
Calculated total energy in eV/atom: -7.923

Cell lengths 3.9100, 6.7270, 11.3202 Å; angles 90.00, 90.00, 90.00 degrees
Space group Immm (No. 71)
Asymmetric unit:
Np: 0.0000 0.0000 0.1830 (multiplicity 4)
U: 0.0000 0.0000 0.5000 (multiplicity 2)
F: 0.0000 0.1960 0.0000 (multiplicity 4)
F: 0.0000 0.2746 0.3406 (multiplicity 8)
F: 0.0000 0.5000 0.1450 (multiplicity 4)


| no. | Fermi-level density of states (states/eV/atom) |
| --- | --- |
| 1 | 1.060 |
| 2 | 0.652 |
| 3 | 0.756 |
| 4 | 1.470 |